DFT (PBE-GGA) results for crystalline GaBi3As at its relaxed geometry.

Computed properties:
**Symmetry**: Pm-3m
**Magnetization**: 0.0 μB/cell
**Formation energy from the elements**: 2.755 eV/f.u.
**Offset from the most stable computed form**: 0.000 eV/atom

Unit cell a=5.605 b=5.605 c=5.605 alpha=90.00 beta=90.00 gamma=90.00
Sites, in units of the cell vectors:
As: 0.000 0.000 0.000
Bi: 0.500 0.000 0.000
Bi: 0.000 0.000 0.500
Bi: 0.000 0.500 0.000
Ga: 0.500 0.500 0.500

DFT (PBE-GGA) results for crystalline AcPm6Dy2Er3 at its relaxed geometry.

Computed properties:
**Symmetry**: C2/m
**Magnetization**: 0.0 μB/cell
**Formation energy from the elements**: 0.351 eV/f.u.

Unit cell a=6.285 b=6.285 c=11.984 alpha=95.02 beta=95.02 gamma=119.99
Sites, in units of the cell vectors:
Dy: 0.333 0.667 0.000
Dy: 0.667 0.333 0.000
Pm: 0.250 0.250 0.744
Pm: 0.578 0.914 0.745
Pm: 0.750 0.750 0.256
Pm: 0.086 0.422 0.255
Pm: 0.422 0.086 0.255
Pm: 0.914 0.578 0.745
Er: 0.500 0.500 0.500
Er: 0.833 0.167 0.500
Er: 0.167 0.833 0.500
Ac: 0.000 0.000 0.000

Q: magnetization of number 2 (AcPm6Dy2Er3)?
A: 0.0 μB/cell